Below is crystalline K2TlAg2I6 at its relaxed geometry, with properties calculated at the PBE level.

Cell: 15.388 8.677 8.351 Å, 90.00 119.85 90.00°
Space group C2/m (No. 12)
One atom of each set of equivalent atoms:
K1 0.241 0.000 0.187 (multiplicity 4)
Tl1 0.000 0.000 0.500 (multiplicity 2)
Ag1 0.058 0.500 0.203 (multiplicity 4)
I1 0.068 0.257 0.822 (multiplicity 8)
I2 0.237 0.000 0.601 (multiplicity 4)

Below is crystalline K2TlAgI6 at its relaxed geometry, with properties calculated at the PBE level.

Relative energy among the computed polymorphs, kcal/mol of atoms: 1.060

Cell: 12.003 12.003 12.003 Å, 90.00 90.00 90.00°
Space group Fm-3m (No. 225)
One atom of each set of equivalent atoms:
K1 0.250 0.250 0.250 (multiplicity 8)
Tl1 0.000 0.000 0.000 (multiplicity 4)
Ag1 0.000 0.000 0.500 (multiplicity 4)
I1 0.000 0.000 0.256 (multiplicity 24)

Below is crystalline K2TlAgI5 at its relaxed geometry, with properties calculated at the PBE level.

Cell: 4.758 20.487 15.249 Å, 90.00 90.00 90.00°
Space group Cmc2_1 (No. 36)
One atom of each set of equivalent atoms:
K1 0.000 0.105 0.000 (multiplicity 4)
K2 0.000 0.128 0.646 (multiplicity 4)
Tl1 0.000 0.208 0.347 (multiplicity 4)
Ag1 0.000 0.448 0.739 (multiplicity 4)
I1 0.000 0.046 0.341 (multiplicity 4)
I2 0.000 0.282 0.997 (multiplicity 4)
I3 0.000 0.306 0.693 (multiplicity 4)
I4 0.000 0.363 0.326 (multiplicity 4)
I5 0.000 0.490 0.076 (multiplicity 4)

Below is crystalline K2TlAgI6 at its relaxed geometry, with properties calculated at the PBE level.

Relative energy among the computed polymorphs, kcal/mol of atoms: 0.000

Cell: 7.975 8.656 14.046 Å, 90.00 122.68 90.00°
Space group P2_1/c (No. 14)
One atom of each set of equivalent atoms:
K1 0.207 0.097 0.244 (multiplicity 4)
Tl1 0.500 0.000 0.000 (multiplicity 2)
Ag1 0.000 0.000 0.500 (multiplicity 2)
I1 0.144 0.191 0.955 (multiplicity 4)
I2 0.252 0.679 0.954 (multiplicity 4)
I3 0.346 0.001 0.750 (multiplicity 4)

Results for raw formation energy: -7.5, -6.8, -7.4, -7.3 (in eV per formula unit, following the order of the records).
Results for E: -2.46, -2.35, -2.50, -2.40 (in eV/atom, following the order of the records).